PBE-GGA Tb2NdRu, optimized geometry; polymorph energy (0 for the lowest one) = 0 kJ/mol of formula units; energy of formation from the pure elements = -0.2663 eV per atom; raw total energy = -6.092 eV/atom; Fermi-level density of states = 0.91 states/eV/atom
1.0
7.3560 0.0000 0.0000
0.0000 9.3698 0.0000
0.0000 0.0000 6.4268
Tb Nd Ru
8 4 4
Direct
0.1765 0.0666 0.1684
0.1765 0.4334 0.1684
0.3235 0.5666 0.6684
0.3235 0.9334 0.6684
0.6765 0.0666 0.3316
0.6765 0.4334 0.3316
0.8235 0.5666 0.8316
0.8235 0.9334 0.8316
0.0409 0.2500 0.6359
0.4591 0.7500 0.1359
0.5409 0.2500 0.8641
0.9591 0.7500 0.3641
0.1137 0.7500 0.9477
0.3863 0.2500 0.4477
0.6137 0.7500 0.5523
0.8863 0.2500 0.0523